The following is a DFT calculation (PBE-GGA) of crystalline LiRuO2F at its relaxed geometry.

Magnetic moment ... 1.20 Bohr magnetons per cell
E_tot ... -29.300 eV/f.u.
V ... 12.56 A^3/atom
Density of states at the Fermi level ... 0.220 states/eV/atom
Formation energy from raw total energies ... -1.26 eV/atom

Unit cell a=3.810 b=3.810 c=4.326 alpha=90.00 beta=90.00 gamma=90.00
Site moments in Bohr magnetons follow the coordinates.
Fractional positions:
O 0.000 0.500 0.000  0.15
O 0.500 0.000 0.000  0.15
Ru 0.000 0.000 0.000  0.80
Li 0.500 0.500 0.500  0.00
F 0.000 0.000 0.500  0.01

The following is a DFT calculation (PBE-GGA) of crystalline Pm7Er3In at its relaxed geometry.

Formation energy ... 0.1077 eV per atom
Magnetic moment ... 0.00 Bohr magnetons per cell
E_tot ... -48.497 eV/f.u.
V ... 33.64 A^3/atom
Density of states at the Fermi level ... 1.421 states/eV/atom

Unit cell a=8.573 b=7.060 c=7.060 alpha=120.00 beta=90.00 gamma=90.00
Fractional positions:
Pm 0.118 0.169 0.338
Pm 0.450 0.831 0.169
Pm 0.450 0.338 0.169
Pm 0.118 0.662 0.831
Pm 0.110 0.667 0.333
Pm 0.450 0.831 0.662
Pm 0.118 0.169 0.831
Er 0.781 0.500 0.500
Er 0.781 0.500 0.000
Er 0.781 0.000 0.500
In 0.460 0.333 0.667

The following is a DFT calculation (PBE-GGA) of crystalline TiCr2Ag2 at its relaxed geometry.

Formation energy ... 0.6079 eV per atom
Magnetic moment ... 0.92 Bohr magnetons per cell
E_tot ... -29.805 eV/f.u.
V ... 16.27 A^3/atom
Density of states at the Fermi level ... 1.152 states/eV/atom
E above lowest polymorph ... 55.4 meV per atom

Unit cell a=3.168 b=3.168 c=8.414 alpha=79.15 beta=79.15 gamma=90.00
Site moments in Bohr magnetons follow the coordinates.
Fractional positions:
Ag 0.608 0.608 0.785  0.02
Ag 0.392 0.392 0.215  0.02
Cr 0.750 0.250 0.500  0.01
Cr 0.250 0.750 0.500  0.01
Ti 0.000 0.000 0.000  0.67

The following is a DFT calculation (PBE-GGA) of crystalline Ba4PAu2Cl at its relaxed geometry.

Magnetic moment ... 0.00 Bohr magnetons per cell
E_tot ... -30.214 eV/f.u.
V ... 37.28 A^3/atom
Density of states at the Fermi level ... 0.793 states/eV/atom
Formation energy from raw total energies ... -1.09 eV/atom

Unit cell a=4.673 b=8.051 c=8.360 alpha=108.48 beta=90.00 gamma=90.00
Fractional positions:
Ba 0.500 0.263 0.243
Ba 0.000 0.731 0.239
Ba 0.500 0.737 0.757
Ba 0.000 0.269 0.761
Cl 0.000 0.000 0.000
P 0.500 0.500 0.000
Au 0.000 0.500 0.500
Au 0.500 0.000 0.500

The following is a DFT calculation (PBE-GGA) of crystalline SrOsPb3 at its relaxed geometry.

Formation energy ... 1.9992 eV per atom
Magnetic moment ... 2.83 Bohr magnetons per cell
E_tot ... -14.040 eV/f.u.
V ... 42.15 A^3/atom
Density of states at the Fermi level ... 1.626 states/eV/atom
E above lowest polymorph ... 1672.4 meV per atom

Unit cell a=5.951 b=5.951 c=5.951 alpha=90.00 beta=90.00 gamma=90.00
Site moments in Bohr magnetons follow the coordinates.
Fractional positions:
Pb 0.500 0.000 0.000  -0.05
Pb 0.000 0.000 0.500  -0.06
Pb 0.000 0.500 0.000  -0.06
Os 0.500 0.500 0.500  2.91
Sr 0.000 0.000 0.000  -0.04

The following is a DFT calculation (PBE-GGA) of crystalline Zn2RhWSe at its relaxed geometry.

Magnetic moment ... 0.75 Bohr magnetons per cell
E_tot ... -20.271 eV/f.u.
V ... 23.02 A^3/atom
Density of states at the Fermi level ... 0.986 states/eV/atom
Formation energy from raw total energies ... 1.21 eV/atom

Unit cell a=4.960 b=4.679 c=4.960 alpha=90.00 beta=90.00 gamma=90.00
Site moments in Bohr magnetons follow the coordinates.
Fractional positions:
Rh 0.000 0.500 0.000  -0.01
Zn 0.500 0.000 0.000  0.01
Zn 0.000 0.000 0.500  0.02
W 0.000 0.000 0.000  0.52
Se 0.500 0.500 0.500  0.04

The following is a DFT calculation (PBE-GGA) of crystalline KLiSi at its relaxed geometry.

Magnetic moment ... 0.00 Bohr magnetons per cell
E_tot ... -8.654 eV/f.u.
V ... 30.31 A^3/atom
Density of states at the Fermi level ... 0.277 states/eV/atom
Formation energy from raw total energies ... -0.07 eV/atom
E above lowest polymorph ... 20.3 meV per atom

Unit cell a=3.726 b=4.267 c=11.760 alpha=100.54 beta=98.18 gamma=90.04
Fractional positions:
K 0.105 0.837 0.677
K 0.895 0.163 0.323
Li 0.212 0.458 0.917
Li 0.788 0.542 0.083
Si 0.720 0.967 0.934
Si 0.280 0.033 0.066

The following is a DFT calculation (PBE-GGA) of crystalline KLiAl2Se4 at its relaxed geometry.

Magnetic moment ... 0.00 Bohr magnetons per cell
E_tot ... -32.190 eV/f.u.
V ... 27.71 A^3/atom
Formation energy from raw total energies ... -0.97 eV/atom

Unit cell a=8.022 b=8.022 c=8.022 alpha=138.81 beta=138.81 gamma=59.66
Fractional positions:
Al 0.750 0.250 0.500
Al 0.250 0.750 0.500
Se 0.626 0.626 0.551
Se 0.925 0.374 0.000
Se 0.374 0.925 0.000
Se 0.075 0.075 0.449
Li 0.000 0.000 0.000
K 0.500 0.500 0.000

> What is the E_tot in the eighth record?

-32.190 eV/f.u.

> What is the magnetic moment in the sixth record?

0.75 Bohr magnetons per cell

> Which formula does entry 1 have?

LiRuO2F

> Among the records above, which one has the lowest V?

LiRuO2F